# MgCuAs meta-GGA SCAN PBEsol geometry
# ΔE_f in kcal/mol of atoms: -1.60
# Final energy in eV per atom: -13.524
data_MgCuAs
_symmetry_space_group_name_H-M 'I 4 m m'
_symmetry_Int_Tables_number 107
_symmetry_space_group_name_Hall 'I 4 -2'
_cell_length_a 3.620
_cell_length_b 3.620
_cell_length_c 7.519
_cell_angle_alpha 90.00
_cell_angle_beta 90.00
_cell_angle_gamma 90.00
loop_
_atom_site_label
_atom_site_type_symbol
_atom_site_fract_x
_atom_site_fract_y
_atom_site_fract_z
Mg1 Mg 0.000 0.000 0.000
Cu1 Cu 0.000 0.000 0.334
As1 As 0.000 0.000 0.658